The following is a PBE calculation of a relaxed structure of Nb2RhPb, from Alexandria.

a b c (Å): 3.916 3.916 10.683
angles (deg): 79.44 79.44 90.00
Sites, in units of the cell vectors:
Pb  0.000  0.000  0.000
Pb  0.750  0.250  0.500
Nb  0.626  0.125  0.250
Nb  0.124  0.625  0.250
Nb  0.375  0.374  0.750
Nb  0.875  0.876  0.750
Rh  0.500  0.500  0.000
Rh  0.250  0.750  0.500

- space-group type = I-42d
- energy of formation (eV/atom) = 0.444
- energy (eV/atom) = -7.3554
- mass density (g cm⁻³) = 10.41
- M_tot (μB per formula unit) = 0.0